First-principles (PBE) data for an optimized crystal structure of Sr12Hg3Pd5, as listed in Alexandria via LeMat-Bulk.

```
Sr12Hg3Pd5
1.0
-9.4081 12.8807 -2.5508
2.1048 -7.9665 -13.8937
-7.0324 -9.7528 10.7869
Hg Pd Sr
12 20 48
Cartesian
-7.1458 5.4540 -5.7748 Hg
-7.5325 4.0766 -11.3038 Hg
-6.3447 -7.2401 -4.6350 Hg
-4.7261 -1.4329 1.6707 Hg
-9.7271 7.8366 -1.2719 Hg
-3.9706 -2.5870 -6.9434 Hg
-10.3650 -2.2516 1.2858 Hg
-4.6086 -12.6752 -4.3856 Hg
-9.6096 -3.4057 -7.3282 Hg
-7.9910 2.4015 -1.0226 Hg
-6.8032 -8.9153 5.6463 Hg
-7.1899 -10.2926 0.1173 Hg
-2.1448 -3.8156 -2.8323 Pd
1.0524 -3.9832 -6.9469 Pd
0.0000 0.0000 0.0000 Pd
-3.8809 1.6195 -3.0816 Pd
-8.2202 1.5639 4.1181 Pd
-3.6516 2.4571 -8.2222 Pd
-2.2345 -8.0221 -6.6940 Pd
-12.9463 0.1310 5.7888 Pd
-8.3777 1.0242 -6.5515 Pd
-8.5392 -3.4802 5.3970 Pd
-5.7964 -1.3584 -11.0545 Pd
-7.1678 -2.4193 -2.8288 Pd
-4.7040 6.4404 -1.2754 Pd
-3.5162 -4.8764 5.3935 Pd
-5.9580 -5.8628 0.8940 Pd
-1.3893 -4.9696 -11.4463 Pd
-2.4638 -8.8597 -1.5534 Pd
-12.1011 3.1835 1.0365 Pd
-10.4548 -6.4582 -2.5759 Pd
-12.1908 -1.0231 -2.8253 Pd
-6.6673 7.8616 -3.1232 Sr
-4.8238 -4.1174 -3.7832 Sr
-10.3283 6.5993 -4.6132 Sr
-5.4262 4.0227 -2.9848 Sr
-8.8132 -4.6613 -4.0757 Sr
-9.0982 6.0479 -8.7117 Sr
-4.2638 -6.1255 -7.3707 Sr
0.2511 -7.3078 -11.5659 Sr
-8.2459 -6.7389 -7.6223 Sr
-6.6849 2.7282 -8.1018 Sr
-9.1153 2.7549 -4.3991 Sr
-6.0607 3.0008 -14.4236 Sr
-3.3922 -9.3123 -4.4208 Sr
-3.3323 0.7193 -5.7389 Sr
-1.5920 -9.8177 -8.8237 Sr
-7.7314 -1.4010 3.6090 Sr
-1.9536 -2.3023 -0.4144 Sr
-3.5729 -0.2318 -9.6548 Sr
-7.8663 0.5302 -11.6214 Sr
-0.8815 -2.5611 -5.0690 Sr
-7.0886 -10.5106 -5.8760 Sr
-7.0987 -1.3847 -5.6947 Sr
-10.6118 -0.0017 -8.0106 Sr
-13.1481 -1.2816 3.3116 Sr
-7.2369 -3.4539 0.0372 Sr
-3.7238 -4.8369 2.3530 Sr
-1.1876 -3.5570 -8.9691 Sr
-6.4694 -5.3688 5.9639 Sr
-7.2471 5.6720 0.2184 Sr
-13.4542 -2.2775 -0.5885 Sr
-10.7628 -4.6068 3.9973 Sr
-6.6043 -3.4377 -9.2665 Sr
-12.3820 -2.5363 -5.2431 Sr
-12.7436 4.9791 3.1661 Sr
-10.9434 4.4737 -1.2368 Sr
-8.2749 -7.8394 8.7661 Sr
-11.0033 -5.5579 0.0814 Sr
-6.0898 1.9003 1.9647 Sr
-7.6507 -7.5668 2.4442 Sr
-5.2204 -7.5935 -1.2585 Sr
-14.5867 2.4692 5.9084 Sr
-10.0719 1.2869 1.7132 Sr
-8.9094 -8.8613 -2.6727 Sr
-5.2374 -10.8866 3.0541 Sr
-5.5224 -0.1773 -1.5818 Sr
-4.0073 -11.4379 -1.0444 Sr
-9.5118 -0.7212 -1.8743 Sr
-7.6683 -12.7002 -2.5344 Sr
```

Results
As for the energy of formation: -296 meV/atom. For the raw total energy, the calculation gives -211.9 eV per cell.

First-principles (PBE) data for an optimized crystal structure of NiSbRhI2, as listed in Alexandria via LeMat-Bulk.

```
NiSbRhI2
1.0
5.2730 0.0000 0.0000
0.0000 5.2730 0.0000
0.0000 0.0000 4.8179
I Sb Rh Ni
2 1 1 1
Cartesian
0.0000 2.6365 0.0000 I
2.6365 0.0000 0.0000 I
0.0000 0.0000 2.4089 Sb
2.6365 2.6365 2.4089 Rh
0.0000 0.0000 0.0000 Ni
```

Results
The calculation puts the formation energy from raw total energies at 814.3 meV per atom. As for the energy above the most stable polymorph in this dataset: 3.49 kJ per mole of atoms. For the raw total energy, the calculation gives -16.3 eV per cell.

First-principles (PBE) data for an optimized crystal structure of BeOs2Ru, as listed in Alexandria via LeMat-Bulk.

```
BeOs2Ru
1.0
-1.7155 -0.6595 -3.4049
-1.2988 -3.2289 1.2797
-3.0595 1.7103 1.2102
Ru Os Be
1 2 1
Cartesian
-1.5071 -1.9442 -1.0626 Ru
0.0000 0.0000 0.0000 Os
-2.1791 -0.7593 1.2450 Os
-2.3875 0.5254 -1.0974 Be
```

Results
As for the energy of formation: 352 meV/atom. For the raw total energy, the calculation gives -34.1 eV per cell.

Calculated volume list, top to bottom, in Å³/cell: 3245 134 53